No. 1
# Rb2NpSnS4

An optimized crystal structure of Rb2NpSnS4 (PBE-GGA, Alexandria via LeMat-Bulk).

**Calculated volume**: 28.950 Å³ per atom
**Symmetry**: P2/m
**Electronic total energy**: -44.19 eV for the cell shown
**Raw formation energy**: -106 kJ/mol of atoms

a = 7.3492 Å, b = 4.1701 Å, c = 7.9114 Å
α = 90.00°, β = 107.21°, γ = 90.00°
Sites, in units of the cell vectors:
1 Rb 0.0000 0.0000 0.0000
2 Rb 0.5000 0.5000 0.0000
3 Np 0.0000 0.5000 0.5000
4 Sn 0.5000 0.0000 0.5000
5 S 0.2139 0.0000 0.6890
6 S 0.2452 0.5000 0.3083
7 S 0.7548 0.5000 0.6917
8 S 0.7861 0.0000 0.3110

---

No. 2
# Rb2Np3SnS8

An optimized crystal structure of Rb2Np3SnS8 (PBE-GGA, Alexandria via LeMat-Bulk).

**Calculated volume**: 32.594 Å³ per atom
**Symmetry**: R3m
**Electronic total energy**: -93.95 eV for the cell shown
**Raw formation energy**: -111 kJ/mol of atoms

a = 9.3143 Å, b = 9.3143 Å, c = 9.3143 Å
α = 51.45°, β = 51.45°, γ = 51.45°
Sites, in units of the cell vectors:
1 Rb 0.0000 0.0000 0.0000
2 Rb 0.3617 0.3617 0.3617
3 Np 0.3609 0.3609 0.8680
4 Np 0.3609 0.8680 0.3609
5 Np 0.8680 0.3609 0.3609
6 Sn 0.7576 0.7576 0.7576
7 S 0.1038 0.1038 0.5549
8 S 0.1038 0.5549 0.1038
9 S 0.1366 0.1366 0.1366
10 S 0.1438 0.6316 0.6316
11 S 0.5549 0.1038 0.1038
12 S 0.5844 0.5844 0.5844
13 S 0.6316 0.1438 0.6316
14 S 0.6316 0.6316 0.1438

---

No. 3
# Rb3SrNp2S6

An optimized crystal structure of Rb3SrNp2S6 (PBE-GGA, Alexandria via LeMat-Bulk).

**Calculated volume**: 29.243 Å³ per atom
**Symmetry**: C2/m
**Electronic total energy**: -73.20 eV for the cell shown
**Raw formation energy**: -144 kJ/mol of atoms

a = 7.2655 Å, b = 7.2655 Å, c = 8.0510 Å
α = 98.68°, β = 98.68°, γ = 119.99°
Sites, in units of the cell vectors:
1 Rb 0.0000 0.0000 0.0000
2 Rb 0.3385 0.6615 0.0000
3 Rb 0.6615 0.3385 0.0000
4 Sr 0.5000 0.5000 0.5000
5 Np 0.1671 0.8329 0.5000
6 Np 0.8329 0.1671 0.5000
7 S 0.0764 0.4351 0.3065
8 S 0.2060 0.2060 0.6922
9 S 0.4351 0.0764 0.3065
10 S 0.5649 0.9236 0.6935
11 S 0.7940 0.7940 0.3078
12 S 0.9236 0.5649 0.6935

---

No. 4
# Rb3Sr2NpS6

An optimized crystal structure of Rb3Sr2NpS6 (PBE-GGA, Alexandria via LeMat-Bulk).

**Calculated volume**: 30.294 Å³ per atom
**Symmetry**: C2/m
**Electronic total energy**: -62.60 eV for the cell shown
**Raw formation energy**: -150 kJ/mol of atoms

a = 7.4049 Å, b = 7.4049 Å, c = 8.0444 Å
α = 98.89°, β = 98.89°, γ = 119.95°
Sites, in units of the cell vectors:
1 Rb 0.0000 0.0000 0.0000
2 Rb 0.3287 0.6713 0.0000
3 Rb 0.6713 0.3287 0.0000
4 Sr 0.1664 0.8336 0.5000
5 Sr 0.8336 0.1664 0.5000
6 Np 0.5000 0.5000 0.5000
7 S 0.1371 0.4346 0.3043
8 S 0.2698 0.2698 0.6959
9 S 0.4346 0.1371 0.3043
10 S 0.5654 0.8629 0.6957
11 S 0.7302 0.7302 0.3041
12 S 0.8629 0.5654 0.6957

---

No. 5
# Rb2Sr2NpS6

An optimized crystal structure of Rb2Sr2NpS6 (PBE-GGA, Alexandria via LeMat-Bulk).

**Calculated volume**: 32.521 Å³ per atom
**Symmetry**: C2/m
**Electronic total energy**: -59.54 eV for the cell shown
**Raw formation energy**: -145 kJ/mol of atoms

a = 7.2422 Å, b = 7.2422 Å, c = 8.1628 Å
α = 99.03°, β = 99.03°, γ = 118.59°
Sites, in units of the cell vectors:
1 Rb 0.1737 0.8263 0.0000
2 Rb 0.8263 0.1737 0.0000
3 Sr 0.3354 0.6646 0.5000
4 Sr 0.6646 0.3354 0.5000
5 Np 0.0000 0.0000 0.5000
6 S 0.0626 0.3557 0.6895
7 S 0.2200 0.2200 0.3103
8 S 0.3557 0.0626 0.6895
9 S 0.6443 0.9374 0.3105
10 S 0.7800 0.7800 0.6897
11 S 0.9374 0.6443 0.3105

---

No. 6
# Rb3Np3TaS8

An optimized crystal structure of Rb3Np3TaS8 (PBE-GGA, Alexandria via LeMat-Bulk).

**Calculated volume**: 28.265 Å³ per atom
**Symmetry**: R-3m
**Electronic total energy**: -105.85 eV for the cell shown
**Raw formation energy**: -124 kJ/mol of atoms

a = 9.1104 Å, b = 9.1104 Å, c = 9.1104 Å
α = 51.21°, β = 51.21°, γ = 51.21°
Sites, in units of the cell vectors:
1 Rb 0.0000 0.5000 0.5000
2 Rb 0.5000 0.0000 0.5000
3 Rb 0.5000 0.5000 0.0000
4 Np 0.0000 0.0000 0.5000
5 Np 0.0000 0.5000 0.0000
6 Np 0.5000 0.0000 0.0000
7 Ta 0.5000 0.5000 0.5000
8 S 0.2316 0.2316 0.2316
9 S 0.2516 0.7151 0.7151
10 S 0.2849 0.2849 0.7484
11 S 0.2849 0.7484 0.2849
12 S 0.7151 0.2516 0.7151
13 S 0.7151 0.7151 0.2516
14 S 0.7484 0.2849 0.2849
15 S 0.7684 0.7684 0.7684

---

No. 7
# Rb2Tb2NpS6

An optimized crystal structure of Rb2Tb2NpS6 (PBE-GGA, Alexandria via LeMat-Bulk).

**Calculated volume**: 30.364 Å³ per atom
**Symmetry**: C2/m
**Electronic total energy**: -67.72 eV for the cell shown
**Raw formation energy**: -165 kJ/mol of atoms

a = 7.0004 Å, b = 7.0004 Å, c = 8.2134 Å
α = 98.35°, β = 98.35°, γ = 119.88°
Sites, in units of the cell vectors:
1 Rb 0.1691 0.8309 0.0000
2 Rb 0.8309 0.1691 0.0000
3 Tb 0.3337 0.6663 0.5000
4 Tb 0.6663 0.3337 0.5000
5 Np 0.0000 0.0000 0.5000
6 S 0.0614 0.3898 0.6860
7 S 0.2614 0.2614 0.3142
8 S 0.3898 0.0614 0.6860
9 S 0.6102 0.9386 0.3140
10 S 0.7386 0.7386 0.6858
11 S 0.9386 0.6102 0.3140

---

No. 8
# Rb3TbNp3S8

An optimized crystal structure of Rb3TbNp3S8 (PBE-GGA, Alexandria via LeMat-Bulk).

**Calculated volume**: 29.727 Å³ per atom
**Symmetry**: R-3m
**Electronic total energy**: -101.98 eV for the cell shown
**Raw formation energy**: -145 kJ/mol of atoms

a = 9.0839 Å, b = 9.0839 Å, c = 9.0839 Å
α = 53.22°, β = 53.22°, γ = 53.22°
Sites, in units of the cell vectors:
1 Rb 0.0000 0.5000 0.5000
2 Rb 0.5000 0.0000 0.5000
3 Rb 0.5000 0.5000 0.0000
4 Tb 0.5000 0.5000 0.5000
5 Np 0.0000 0.0000 0.5000
6 Np 0.0000 0.5000 0.0000
7 Np 0.5000 0.0000 0.0000
8 S 0.2266 0.7300 0.7300
9 S 0.2291 0.2291 0.2291
10 S 0.2700 0.2700 0.7734
11 S 0.2700 0.7734 0.2700
12 S 0.7300 0.2266 0.7300
13 S 0.7300 0.7300 0.2266
14 S 0.7709 0.7709 0.7709
15 S 0.7734 0.2700 0.2700